Material: Nd5Tl2O2
Method: DFT, PBE
State: optimized geometry

```
data_Nd5Tl2O2
_chemical_formula_sum 'Nd10 Tl4 O4'
_cell_length_a 7.1142
_cell_length_b 7.0546
_cell_length_c 10.8778
_cell_angle_alpha 108.92
_cell_angle_beta 109.09
_cell_angle_gamma 90.00
_symmetry_space_group_name_H-M 'P 1'
_symmetry_Int_Tables_number 1
loop_
_symmetry_equiv_pos_as_xyz
'x,y,z'
loop_
_atom_site_label
_atom_site_type_symbol
_atom_site_fract_x
_atom_site_fract_y
_atom_site_fract_z
O1 O 0.2240 0.2595 0.5000
Nd1 Nd 0.7616 0.7711 0.0232
Nd2 Nd 0.7616 0.2711 0.0232
Nd3 Nd 0.7910 0.8720 0.7252
Nd4 Nd 0.5658 0.6469 0.2748
Nd5 Nd 0.2384 0.2480 0.9768
O2 O 0.7760 0.7595 0.5000
Nd6 Nd 0.0003 0.5098 0.5000
Tl1 Tl 0.3527 0.8829 0.7465
Tl2 Tl 0.6473 0.1363 0.2535
Nd7 Nd 0.9997 0.0098 0.5000
Tl3 Tl 0.1062 0.6363 0.2535
O3 O 0.0000 0.0096 0.0000
O4 O 0.5000 0.5096 0.0000
Tl4 Tl 0.8938 0.3829 0.7465
Nd8 Nd 0.4342 0.3720 0.7252
Nd9 Nd 0.2090 0.1469 0.2748
Nd10 Nd 0.2384 0.7480 0.9768
```

Output
Raw formation energy in kJ/mol of formula units: -1197.5
Space group: Imma (74)
Crystal system: orthorhombic